Computed, not measured: crystalline KGaNiH2 at its relaxed geometry at the PBE level of DFT.

The structure belongs to space group P4/mmm (No. 123); the cell edges are 3.839, 3.839 and 6.645 Å and the angles 90.00°, 90.00° and 90.00°. Symmetry generates all atoms from K at (0.000, 0.000, 0.000), Ga at (0.000, 0.000, 0.500), Ni at (0.500, 0.500, 0.500) and H at (0.000, 0.500, 0.000).

As for the crystal system: tetragonal. The value obtained for the total energy is -2.115 eV per atom. For the theoretical density, the calculation gives 2.87 Mg/m³. The magnetic moment is 0.00 μB/f.u.